(1)
Pm2ErTm9 | GGA-PBE | optimized geometry

Lattice parameters (Å, degrees): 5.8026 5.8026 11.0694 90.00 90.00 90.00
With the nearest neighbours (Å) after each atom.
Atoms (fractional coordinates):
Pm (0.0000, 0.0000, 0.3328)  8 Tm 3.44-3.45, 1 Er 3.68, 1 Pm 3.70
Pm (0.0000, 0.0000, 0.6672)  8 Tm 3.44-3.45, 1 Er 3.68, 1 Pm 3.70
Er (0.0000, 0.0000, 0.0000)  8 Tm 3.42, 2 Pm 3.68
Tm (0.5000, 0.5000, 0.0000)  10 Tm 3.42-3.69
Tm (0.5000, 0.5000, 0.3334)  10 Tm 3.44-3.69
Tm (0.5000, 0.5000, 0.6666)  10 Tm 3.44-3.69
Tm (0.5000, 0.0000, 0.1634)  2 Er 3.42, 6 Tm 3.42-3.73, 2 Pm 3.45
Tm (0.5000, 0.0000, 0.5000)  6 Tm 3.44-3.73, 4 Pm 3.44
Tm (0.5000, 0.0000, 0.8366)  2 Er 3.42, 6 Tm 3.42-3.73, 2 Pm 3.45
Tm (0.0000, 0.5000, 0.1634)  6 Tm 3.42-3.73, 2 Er 3.42, 2 Pm 3.45
Tm (0.0000, 0.5000, 0.5000)  6 Tm 3.44-3.73, 4 Pm 3.44
Tm (0.0000, 0.5000, 0.8366)  2 Er 3.42, 6 Tm 3.42-3.73, 2 Pm 3.45

Values from the calculation:
formation energy from the elements = 2.934 kcal/mol of atoms
crystal system = tetragonal
final energy = -4.3984 eV/atom

(2)
MgSb2Ru | GGA-PBE | optimized geometry

Lattice parameters (Å, degrees): 4.8725 4.8725 3.4753 89.95 89.95 102.54
With the nearest neighbours (Å) after each atom.
Atoms (fractional coordinates):
Mg (0.5000, 0.0000, 0.5000)  8 Sb 2.99, 2 Ru 3.05
Ru (0.0000, 0.5000, 0.5000)  8 Sb 2.99, 2 Mg 3.05
Sb (0.0000, 0.0000, 0.0000)  4 Mg 2.99, 4 Ru 2.99, 2 Sb 3.05
Sb (0.5000, 0.5000, 0.0000)  4 Ru 2.99, 4 Mg 2.99, 2 Sb 3.05

Values from the calculation:
formation energy from raw total energies = 0.1339 eV per atom
crystal system = orthorhombic
final energy = -4.6449 eV/atom

(3)
TaAsN2O | GGA-PBE | optimized geometry

Lattice parameters (Å, degrees): 3.8250 3.8250 3.6476 90.00 90.00 90.00
With the nearest neighbours (Å) after each atom.
Atoms (fractional coordinates):
As (0.0000, 0.0000, 0.0000)  2 O 1.82, 4 N 1.91
N (0.0000, 0.5000, 0.0000)  2 As 1.91
N (0.5000, 0.0000, 0.0000)  2 As 1.91
O (0.0000, 0.0000, 0.5000)  2 As 1.82
Ta (0.5000, 0.5000, 0.5000)  8 N 2.64, 4 O 2.70

Values from the calculation:
formation energy from raw total energies = 0.5915 eV per atom
crystal system = tetragonal
final energy = -7.0307 eV/atom

(4)
Sm3MnSe6 | GGA-PBE | optimized geometry

Lattice parameters (Å, degrees): 8.3053 8.3053 8.3053 90.59 90.59 90.59
With the nearest neighbours (Å) after each atom.
Atoms (fractional coordinates):
Sm (0.4312, 0.9237, 0.7567)  6 Se 2.89-2.95
Sm (0.9237, 0.7567, 0.4312)  6 Se 2.89-2.95
Sm (0.2433, 0.5688, 0.0763)  6 Se 2.89-2.95
Sm (0.7567, 0.4312, 0.9237)  6 Se 2.89-2.95
Sm (0.0763, 0.2433, 0.5688)  6 Se 2.89-2.95
Sm (0.5688, 0.0763, 0.2433)  6 Se 2.89-2.95
Mn (0.0000, 0.0000, 0.0000)  6 Se 2.68
Mn (0.5000, 0.5000, 0.5000)  6 Se 2.57
Se (0.2998, 0.9163, 0.0846)  1 Mn 2.68, 3 Sm 2.89-2.95
Se (0.0837, 0.9154, 0.7002)  1 Mn 2.68, 3 Sm 2.89-2.95
Se (0.5774, 0.7971, 0.4594)  1 Mn 2.57
Se (0.9154, 0.7002, 0.0837)  1 Mn 2.68, 3 Sm 2.89-2.95
Se (0.4594, 0.5774, 0.7971)  1 Mn 2.57
Se (0.2029, 0.5406, 0.4226)  1 Mn 2.57
Se (0.7971, 0.4594, 0.5774)  1 Mn 2.57
Se (0.5406, 0.4226, 0.2029)  1 Mn 2.57
Se (0.0846, 0.2998, 0.9163)  1 Mn 2.68, 3 Sm 2.89-2.95
Se (0.4226, 0.2029, 0.5406)  1 Mn 2.57
Se (0.9163, 0.0846, 0.2998)  1 Mn 2.68, 3 Sm 2.89-2.95
Se (0.7002, 0.0837, 0.9154)  1 Mn 2.68, 3 Sm 2.89-2.95

Values from the calculation:
formation energy from raw total energies = -1.4502 eV per atom
crystal system = trigonal
final energy = -5.8736 eV/atom

(5)
AcPr2Ho4 | GGA-PBE | optimized geometry

Lattice parameters (Å, degrees): 9.7715 9.4164 9.7633 137.65 119.49 82.24
With the nearest neighbours (Å) after each atom.
Atoms (fractional coordinates):
Ac (0.2110, 0.5840, 0.6364)  7 Ho 3.65-3.81, 2 Ac 3.66-3.70, 3 Pr 3.69-3.81
Ac (0.1092, 0.0928, 0.0055)  7 Ho 3.63-3.83, 2 Ac 3.66-3.70, 3 Pr 3.68-3.82
Pr (0.6371, 0.5844, 0.9162)  4 Pr 3.56-3.70, 7 Ho 3.59-3.79, 1 Ac 3.69
Pr (0.5505, 0.1022, 0.3119)  7 Ho 3.55-3.79, 3 Pr 3.56-3.70, 2 Ac 3.69-3.82
Pr (0.7710, 0.5756, 0.3303)  8 Ho 3.51-3.77, 2 Pr 3.65-3.74, 2 Ac 3.68-3.81
Pr (0.9724, 0.0986, 0.5850)  8 Ho 3.54-3.75, 3 Pr 3.65-3.74, 1 Ac 3.68
Ho (0.8178, 0.0819, 0.1470)  6 Ho 3.55-3.83, 4 Pr 3.59-3.65, 2 Ac 3.66-3.77
Ho (0.3521, 0.5883, 0.0669)  4 Pr 3.54-3.72, 7 Ho 3.55-3.74, 1 Ac 3.69
Ho (0.9242, 0.5976, 0.7856)  6 Ho 3.54-3.74, 4 Pr 3.55-3.77, 2 Ac 3.64-3.69
Ho (0.6793, 0.0837, 0.7196)  6 Ho 3.49-3.71, 5 Pr 3.58-3.75, 1 Ac 3.69
Ho (0.2581, 0.0765, 0.4357)  7 Ho 3.46-3.83, 3 Pr 3.62-3.70, 2 Ac 3.65-3.83
Ho (0.4001, 0.0867, 0.8605)  3 Pr 3.51-3.79, 7 Ho 3.55-3.68, 2 Ac 3.70-3.73
Ho (0.4994, 0.5974, 0.4901)  7 Ho 3.49-3.74, 3 Pr 3.60-3.79, 2 Ac 3.66-3.79
Ho (0.0678, 0.6004, 0.2092)  6 Ho 3.46-3.74, 4 Pr 3.62-3.72, 2 Ac 3.63-3.81

Values from the calculation:
formation energy from the elements = 0.905 kcal/mol of atoms
crystal system = triclinic
final energy = -4.5291 eV/atom

(6)
U3Ni5Te12 | GGA-PBE | optimized geometry

Lattice parameters (Å, degrees): 14.0597 14.0597 14.0597 109.47 109.47 109.47
With the nearest neighbours (Å) after each atom.
Atoms (fractional coordinates):
U (0.7500, 0.3750, 0.1250)  8 Te 3.15-3.16
U (0.8750, 0.7500, 0.1250)  8 Te 3.15-3.16
U (0.3750, 0.7500, 0.6250)  8 Te 3.15-3.16
U (0.2500, 0.1250, 0.3750)  8 Te 3.15-3.16
U (0.8750, 0.1250, 0.2500)  8 Te 3.15-3.16
U (0.3750, 0.6250, 0.2500)  8 Te 3.15-3.16
U (0.6250, 0.3750, 0.7500)  8 Te 3.15-3.16
U (0.1250, 0.8750, 0.7500)  8 Te 3.15-3.16
U (0.7500, 0.8750, 0.6250)  8 Te 3.15-3.16
U (0.6250, 0.2500, 0.3750)  8 Te 3.15-3.16
U (0.1250, 0.2500, 0.8750)  8 Te 3.15-3.16
U (0.2500, 0.6250, 0.8750)  8 Te 3.15-3.16
Ni (0.1250, 0.3750, 0.2500)  4 Te 2.48
Ni (0.0000, 0.5000, 0.0000)  6 Te 2.62
Ni (0.0000, 0.0000, 0.0000)  6 Te 2.62
Ni (0.3750, 0.2500, 0.1250)  4 Te 2.48
Ni (0.5000, 0.0000, 0.5000)  6 Te 2.62
Ni (0.5000, 0.5000, 0.0000)  6 Te 2.62
Ni (0.1250, 0.7500, 0.3750)  4 Te 2.48
Ni (0.7500, 0.1250, 0.8750)  4 Te 2.48
Ni (0.7500, 0.6250, 0.3750)  4 Te 2.48
Ni (0.3750, 0.1250, 0.7500)  4 Te 2.48
Ni (0.6250, 0.8750, 0.2500)  4 Te 2.48
Ni (0.5000, 0.5000, 0.5000)  6 Te 2.62
Ni (0.5000, 0.0000, 0.0000)  6 Te 2.62
Ni (0.0000, 0.0000, 0.5000)  6 Te 2.62
Ni (0.2500, 0.3750, 0.6250)  4 Te 2.48
Ni (0.2500, 0.8750, 0.1250)  4 Te 2.48
Ni (0.0000, 0.5000, 0.5000)  6 Te 2.62
Ni (0.8750, 0.2500, 0.6250)  4 Te 2.48
Ni (0.6250, 0.7500, 0.8750)  4 Te 2.48
Ni (0.8750, 0.6250, 0.7500)  4 Te 2.48
Te (0.7065, 0.1179, 0.0300)  2 Ni 2.48-2.62
Te (0.3235, 0.5300, 0.4121)  2 Ni 2.48-2.62
Te (0.9700, 0.3821, 0.2935)  2 Ni 2.48-2.62
Te (0.5300, 0.2065, 0.1179)  2 Ni 2.48-2.62
Te (0.5886, 0.7065, 0.6765)  2 Ni 2.48-2.62
Te (0.9700, 0.5879, 0.1765)  2 Ni 2.48-2.62
Te (0.3235, 0.7935, 0.4114)  2 Ni 2.48-2.62
Te (0.0879, 0.9114, 0.1179)  2 Ni 2.48-2.62
Te (0.5879, 0.9700, 0.6765)  2 Ni 2.48-2.62
Te (0.7065, 0.5886, 0.1765)  2 Ni 2.48-2.62
Te (0.7935, 0.4700, 0.3821)  2 Ni 2.48-2.62
Te (0.8235, 0.9121, 0.0300)  2 Ni 2.48-2.62
Te (0.1179, 0.7065, 0.5300)  2 Ni 2.48-2.62
Te (0.3821, 0.4121, 0.0886)  2 Ni 2.48-2.62
Te (0.0886, 0.9121, 0.3821)  2 Ni 2.48-2.62
Te (0.4114, 0.1179, 0.5879)  2 Ni 2.48-2.62
Te (0.0886, 0.1765, 0.2065)  2 Ni 2.48-2.62
Te (0.4700, 0.6765, 0.0879)  2 Ni 2.48-2.62
Te (0.8235, 0.9114, 0.2935)  2 Ni 2.48-2.62
Te (0.1179, 0.4114, 0.0879)  2 Ni 2.48-2.62
Te (0.3821, 0.9700, 0.7935)  2 Ni 2.48-2.62
Te (0.5879, 0.6179, 0.4114)  2 Ni 2.48-2.62
Te (0.9121, 0.8235, 0.5300)  2 Ni 2.48-2.62
Te (0.7935, 0.3235, 0.9114)  2 Ni 2.48-2.62
Te (0.4121, 0.3821, 0.5886)  2 Ni 2.48-2.62
Te (0.0879, 0.1765, 0.4700)  2 Ni 2.48-2.62
Te (0.2065, 0.6765, 0.0886)  2 Ni 2.48-2.62
Te (0.1765, 0.0886, 0.7065)  2 Ni 2.48-2.62
Te (0.6179, 0.0300, 0.2065)  2 Ni 2.48-2.62
Te (0.8821, 0.5886, 0.9121)  2 Ni 2.48-2.62
Te (0.5300, 0.3235, 0.9121)  2 Ni 2.48-2.62
Te (0.5886, 0.8821, 0.4121)  2 Ni 2.48-2.62
Te (0.9114, 0.8235, 0.7935)  2 Ni 2.48-2.62
Te (0.9114, 0.0879, 0.6179)  2 Ni 2.48-2.62
Te (0.8821, 0.2935, 0.4700)  2 Ni 2.48-2.62
Te (0.1765, 0.0879, 0.9700)  2 Ni 2.48-2.62
Te (0.6179, 0.5879, 0.9114)  2 Ni 2.48-2.62
Te (0.4121, 0.0300, 0.3235)  2 Ni 2.48-2.62
Te (0.2935, 0.4114, 0.8235)  2 Ni 2.48-2.62
Te (0.2065, 0.5300, 0.6179)  2 Ni 2.48-2.62
Te (0.9121, 0.0886, 0.8821)  2 Ni 2.48-2.62
Te (0.6765, 0.2065, 0.5886)  2 Ni 2.48-2.62
Te (0.4700, 0.7935, 0.8821)  2 Ni 2.48-2.62
Te (0.0300, 0.4121, 0.8235)  2 Ni 2.48-2.62
Te (0.4114, 0.2935, 0.3235)  2 Ni 2.48-2.62
Te (0.0300, 0.6179, 0.7065)  2 Ni 2.48-2.62
Te (0.6765, 0.4700, 0.5879)  2 Ni 2.48-2.62
Te (0.2935, 0.8821, 0.9700)  2 Ni 2.48-2.62

Values from the calculation:
formation energy from raw total energies = -0.2973 eV per atom
crystal system = cubic
final energy = -5.3209 eV/atom

(7)
Li4CaP | GGA-PBE | optimized geometry

Lattice parameters (Å, degrees): 5.4238 5.4238 5.4238 60.00 60.00 60.00
With the nearest neighbours (Å) after each atom.
Atoms (fractional coordinates):
Li (0.8701, 0.3766, 0.3766)  6 Li 2.68-2.75
Li (0.3766, 0.3766, 0.8701)  6 Li 2.68-2.75
Li (0.3766, 0.8701, 0.3766)  6 Li 2.68-2.75
Li (0.3766, 0.3766, 0.3766)  6 Li 2.68-2.75
Ca (0.0000, 0.0000, 0.0000)  12 Li 3.18, 4 P 3.32
P (0.7500, 0.7500, 0.7500)  12 Li 3.18, 4 Ca 3.32

Values from the calculation:
formation energy from the elements = -1.797 kcal/mol of atoms
crystal system = cubic
final energy = -2.5890 eV/atom

(8)
CdIr5 | GGA-PBE | optimized geometry

Lattice parameters (Å, degrees): 7.4569 7.4569 4.5328 90.00 90.00 158.60
With the nearest neighbours (Å) after each atom.
Atoms (fractional coordinates):
Cd (0.9991, 0.0009, 0.0000)  2 Cd 2.77, 10 Ir 2.81-2.90
Ir (0.2198, 0.7802, 0.5000)  12 Ir 2.71-2.79
Ir (0.3287, 0.6713, 0.0000)  10 Ir 2.67-2.78, 2 Cd 2.86
Ir (0.5610, 0.4390, 0.5000)  8 Ir 2.71-2.93, 4 Cd 2.81
Ir (0.6731, 0.3269, 0.0000)  10 Ir 2.67-2.80, 2 Cd 2.90
Ir (0.8850, 0.1150, 0.5000)  10 Ir 2.77-2.93, 2 Cd 2.82

Values from the calculation:
formation energy from the elements = 4.783 kcal/mol of atoms
crystal system = orthorhombic
final energy = -7.3293 eV/atom

(9)
ScVMo2Ir | GGA-PBE | optimized geometry

Lattice parameters (Å, degrees): 4.7690 4.7955 4.7690 90.00 90.00 90.00
With the nearest neighbours (Å) after each atom.
Atoms (fractional coordinates):
Sc (0.0000, 0.5000, 0.0000)  2 Ir 2.40
Mo (0.0000, 0.0000, 0.5000)  2 Ir 2.38
Mo (0.5000, 0.0000, 0.0000)  2 Ir 2.38
Ir (0.0000, 0.0000, 0.0000)  4 Mo 2.38, 2 Sc 2.40
V (0.5000, 0.5000, 0.5000)  4 Sc 3.37, 8 Mo 3.38

Values from the calculation:
formation energy from the elements = 29.618 kcal/mol of atoms
crystal system = tetragonal
final energy = -7.9103 eV/atom

(10)
CsNa2MnPt | GGA-PBE | optimized geometry

Lattice parameters (Å, degrees): 5.5952 5.1622 5.5952 90.00 90.00 90.00
With the nearest neighbours (Å) after each atom.
Atoms (fractional coordinates):
Cs (0.0000, 0.0000, 0.0000)  2 Mn 2.58, 4 Na 2.80
Na (0.0000, 0.0000, 0.5000)  2 Cs 2.80
Na (0.5000, 0.0000, 0.0000)  2 Cs 2.80
Mn (0.0000, 0.5000, 0.0000)  2 Cs 2.58
Pt (0.5000, 0.5000, 0.5000)  8 Na 3.81, 4 Mn 3.96

Values from the calculation:
formation energy from the elements = 36.568 kcal/mol of atoms
crystal system = tetragonal
final energy = -2.1547 eV/atom